No. 1
Density functional theory data (PBE) for an optimized crystal structure of Er2TmNi.

Results
- Excess energy over the best structure of this formula in the dataset: 13.4 kJ/mol of formula units
- DFT formation energy: -0.943 eV per formula unit
- Space-group type: No. 63

Lattice parameters (Å, degrees): 3.586 11.827 9.446 90.00 90.00 90.00
Fractional coordinates of all 16 atoms:
Er1 0.000 0.136 0.070
Er2 0.000 0.136 0.430
Er3 0.000 0.864 0.570
Er4 0.000 0.864 0.930
Er5 0.500 0.364 0.570
Er6 0.500 0.364 0.930
Er7 0.500 0.636 0.070
Er8 0.500 0.636 0.430
Tm1 0.000 0.419 0.250
Tm2 0.000 0.581 0.750
Tm3 0.500 0.081 0.750
Tm4 0.500 0.919 0.250
Ni1 0.000 0.261 0.750
Ni2 0.000 0.739 0.250
Ni3 0.500 0.239 0.250
Ni4 0.500 0.761 0.750

No. 2
Density functional theory data (PBE) for an optimized crystal structure of KSe.

Results
- Formation energy without anion corrections: -0.783 eV/atom
- Space-group type: No. 139

Lattice parameters (Å, degrees): 11.466 11.466 5.141 90.00 90.00 90.00
Fractional coordinates of all 16 atoms:
K1 0.000 0.255 0.000
K2 0.000 0.745 0.000
K3 0.245 0.500 0.500
K4 0.255 0.000 0.000
K5 0.500 0.245 0.500
K6 0.500 0.755 0.500
K7 0.745 0.000 0.000
K8 0.755 0.500 0.500
Se1 0.223 0.223 0.500
Se2 0.223 0.777 0.500
Se3 0.277 0.277 0.000
Se4 0.277 0.723 0.000
Se5 0.723 0.277 0.000
Se6 0.723 0.723 0.000
Se7 0.777 0.223 0.500
Se8 0.777 0.777 0.500

No. 3
Density functional theory data (PBE) for an optimized crystal structure of MnZn2Tc.

Results
- Excess energy over the best structure of this formula in the dataset: 42.1 kJ/mol of formula units
- DFT formation energy: 0.461 eV per formula unit
- Space-group type: No. 119

Lattice parameters (Å, degrees): 3.829 3.829 7.523 90.00 90.00 90.00
Fractional coordinates of all 8 atoms:
Mn1 0.000 0.000 0.000
Mn2 0.500 0.500 0.500
Zn1 0.000 0.000 0.500
Zn2 0.000 0.500 0.250
Zn3 0.500 0.000 0.750
Zn4 0.500 0.500 0.000
Tc1 0.000 0.500 0.750
Tc2 0.500 0.000 0.250

No. 4
Density functional theory data (PBE) for an optimized crystal structure of RbNbSb2I.

Results
- Excess energy over the best structure of this formula in the dataset: 916.0 kJ/mol of formula units
- Formation energy without anion corrections: 1.711 eV/atom
- Space-group type: No. 123

Lattice parameters (Å, degrees): 5.969 5.969 6.206 90.00 90.00 90.00
Fractional coordinates of all 5 atoms:
Rb1 0.000 0.000 0.000
Nb1 0.500 0.500 0.500
Sb1 0.000 0.500 0.000
Sb2 0.500 0.000 0.000
I1 0.000 0.000 0.500

No. 5
Density functional theory data (PBE) for an optimized crystal structure of NiHIr2W.

Results
- Final energy: -7.9121 eV/atom
- Space-group type: No. 123

Lattice parameters (Å, degrees): 3.942 3.942 3.780 90.00 90.00 90.00
Fractional coordinates of all 5 atoms:
Ni1 0.000 0.000 0.000
H1 0.000 0.000 0.500
Ir1 0.000 0.500 0.500
Ir2 0.500 0.000 0.500
W1 0.500 0.500 0.000

No. 6
Density functional theory data (PBE) for an optimized crystal structure of KAuS2Cl.

Results
- Excess energy over the best structure of this formula in the dataset: 0.0 kJ/mol of formula units
- Formation energy without anion corrections: -0.213 eV/atom
- Space-group type: No. 123

Lattice parameters (Å, degrees): 4.863 4.863 5.479 90.00 90.00 90.00
Fractional coordinates of all 5 atoms:
K1 0.000 0.000 0.000
Au1 0.500 0.500 0.500
S1 0.000 0.500 0.500
S2 0.500 0.000 0.500
Cl1 0.500 0.500 0.000